[1]
Computed, not measured: a geometry-optimized AcLa2YEr5 structure at the PBE level of DFT.

Cell lengths 10.050, 10.050, 10.050 Å; angles 128.12, 128.12, 76.43 degrees
Sites, in units of the cell vectors:
Ac (0.250, 0.250, 0.000)
Ac (0.750, 0.750, 0.000)
La (0.117, 0.617, 0.734)
La (0.383, 0.117, 0.500)
La (0.617, 0.883, 0.500)
La (0.883, 0.383, 0.266)
Y (0.250, 0.750, 0.500)
Y (0.750, 0.250, 0.500)
Er (0.000, 0.000, 0.000)
Er (0.076, 0.152, 0.500)
Er (0.152, 0.652, 0.076)
Er (0.348, 0.424, 0.500)
Er (0.424, 0.924, 0.076)
Er (0.500, 0.500, 0.000)
Er (0.576, 0.076, 0.924)
Er (0.652, 0.576, 0.500)
Er (0.848, 0.348, 0.924)
Er (0.924, 0.848, 0.500)

Summary:
N(E_F) in states/eV/atom: 1.2469
Formation energy from the elements in eV/atom: 0.253
Final energy in eV/atom: -4.55
Space-group type: I4/mcm, No. 140


[2]
Computed, not measured: a geometry-optimized AcLa5Y2Er structure at the PBE level of DFT.

Cell lengths 9.916, 9.916, 9.916 Å; angles 121.93, 121.93, 86.70 degrees
Sites, in units of the cell vectors:
Ac (0.250, 0.250, 0.000)
Ac (0.750, 0.750, 0.000)
La (0.000, 0.000, 0.000)
La (0.067, 0.567, 0.901)
La (0.166, 0.067, 0.500)
La (0.334, 0.834, 0.901)
La (0.433, 0.334, 0.500)
La (0.500, 0.500, 0.000)
La (0.567, 0.666, 0.500)
La (0.666, 0.166, 0.099)
La (0.834, 0.933, 0.500)
La (0.933, 0.433, 0.099)
Y (0.109, 0.391, 0.500)
Y (0.391, 0.891, 0.283)
Y (0.609, 0.109, 0.717)
Y (0.891, 0.609, 0.500)
Er (0.250, 0.750, 0.500)
Er (0.750, 0.250, 0.500)

Summary:
N(E_F) in states/eV/atom: 1.7064
Formation energy from the elements in eV/atom: 0.279
Final energy in eV/atom: -4.86
Space-group type: I4/mcm, No. 140


[3]
Computed, not measured: a geometry-optimized AcLaY2Er structure at the PBE level of DFT.

Cell lengths 6.412, 5.904, 9.887 Å; angles 90.00, 108.86, 90.00 degrees
Sites, in units of the cell vectors:
Ac (0.231, 0.250, 0.304)
Ac (0.769, 0.750, 0.696)
La (0.040, 0.250, 0.902)
La (0.960, 0.750, 0.098)
Y (0.369, 0.750, 0.902)
Y (0.427, 0.250, 0.701)
Y (0.573, 0.750, 0.299)
Y (0.631, 0.250, 0.098)
Er (0.166, 0.750, 0.502)
Er (0.834, 0.250, 0.498)

Summary:
N(E_F) in states/eV/atom: 1.7204
Formation energy from the elements in eV/atom: 0.041
Final energy in eV/atom: -5.26
Space-group type: P2_1/m, No. 11


[4]
Computed, not measured: a geometry-optimized AcLa2Y5Er structure at the PBE level of DFT.

Cell lengths 10.131, 10.131, 10.131 Å; angles 128.30, 128.30, 76.13 degrees
Sites, in units of the cell vectors:
Ac (0.250, 0.250, 0.000)
Ac (0.750, 0.750, 0.000)
La (0.117, 0.617, 0.734)
La (0.383, 0.117, 0.500)
La (0.617, 0.883, 0.500)
La (0.883, 0.383, 0.266)
Y (0.000, 0.000, 0.000)
Y (0.075, 0.153, 0.500)
Y (0.153, 0.653, 0.078)
Y (0.347, 0.425, 0.500)
Y (0.425, 0.925, 0.078)
Y (0.500, 0.500, 0.000)
Y (0.575, 0.075, 0.922)
Y (0.653, 0.575, 0.500)
Y (0.847, 0.347, 0.922)
Y (0.925, 0.847, 0.500)
Er (0.250, 0.750, 0.500)
Er (0.750, 0.250, 0.500)

Summary:
N(E_F) in states/eV/atom: 1.2651
Formation energy from the elements in eV/atom: 0.243
Final energy in eV/atom: -5.41
Space-group type: I4/mcm, No. 140


[5]
Computed, not measured: a geometry-optimized Li2AcEr structure at the PBE level of DFT.

Cell lengths 11.134, 11.134, 11.134 Å; angles 18.62, 18.62, 18.62 degrees
Sites, in units of the cell vectors:
Li (0.246, 0.246, 0.246)
Li (0.754, 0.754, 0.754)
Ac (0.000, 0.000, 0.000)
Er (0.500, 0.500, 0.500)

Summary:
Relative energy among the computed polymorphs in eV/atom: 0.078
N(E_F) in states/eV/atom: 1.0813
Formation energy from the elements in eV/atom: 0.224
Final energy in eV/atom: -2.90
Space-group type: R-3m, No. 166


[6]
Computed, not measured: a geometry-optimized Li2AcEr structure at the PBE level of DFT.

Cell lengths 5.495, 5.495, 5.495 Å; angles 60.00, 60.00, 60.00 degrees
Sites, in units of the cell vectors:
Li (0.250, 0.250, 0.250)
Li (0.750, 0.750, 0.750)
Ac (0.000, 0.000, 0.000)
Er (0.500, 0.500, 0.500)

Summary:
Relative energy among the computed polymorphs in eV/atom: 0.015
N(E_F) in states/eV/atom: 1.4108
Formation energy from the elements in eV/atom: 0.161
Final energy in eV/atom: -2.96
Space-group type: Fm-3m, No. 225


[7]
Computed, not measured: a geometry-optimized LiAcEr structure at the PBE level of DFT.

Cell lengths 6.802, 6.802, 6.802 Å; angles 146.72, 146.72, 47.78 degrees
Sites, in units of the cell vectors:
Li (0.000, 0.000, 0.000)
Ac (0.670, 0.670, 0.000)
Er (0.369, 0.369, 0.000)

Summary:
Relative energy among the computed polymorphs in eV/atom: 0.000
N(E_F) in states/eV/atom: 0.9476
Formation energy from the elements in eV/atom: 0.094
Final energy in eV/atom: -3.43
Space-group type: I4mm, No. 107


[8]
Computed, not measured: a geometry-optimized Li2AcEr structure at the PBE level of DFT.

Cell lengths 3.852, 3.852, 7.765 Å; angles 90.00, 90.00, 90.00 degrees
Sites, in units of the cell vectors:
Li (0.000, 0.000, 0.227)
Li (0.000, 0.000, 0.773)
Ac (0.500, 0.500, 0.500)
Er (0.500, 0.500, 0.000)

Summary:
Relative energy among the computed polymorphs in eV/atom: 0.000
N(E_F) in states/eV/atom: 1.0642
Formation energy from the elements in eV/atom: 0.146
Final energy in eV/atom: -2.98
Space-group type: P4/mmm, No. 123